Entry 1:
Crystalline NaInSe2 at its relaxed geometry. Source: Alexandria, functional PBE.

a = 7.7587 Å, b = 3.9395 Å, c = 14.8883 Å
α = 90.00°, β = 90.00°, γ = 90.00°
Last column: nearest neighbours and their distance in Å.
Atoms (fractional coordinates):
Na: 0.0922 0.2500 0.6138  5 Se 2.91-3.14
Na: 0.4078 0.7500 0.1138  5 Se 2.91-3.14
Na: 0.9078 0.7500 0.3862  5 Se 2.91-3.14
Na: 0.5922 0.2500 0.8862  5 Se 2.91-3.14
Se: 0.7296 0.2500 0.5206  3 In 2.75-2.85
Se: 0.7704 0.7500 0.0206  3 In 2.75-2.85
Se: 0.2704 0.7500 0.4794  3 In 2.75-2.85
Se: 0.2296 0.2500 0.9794  3 In 2.75-2.85
Se: 0.4156 0.2500 0.7139  2 In 2.66, 2 Na 2.91-2.92
Se: 0.0844 0.7500 0.2139  2 In 2.66, 2 Na 2.91-2.92
Se: 0.5844 0.7500 0.2861  2 In 2.66, 2 Na 2.91-2.92
Se: 0.9156 0.2500 0.7861  2 In 2.66, 2 Na 2.91-2.92
In: 0.4754 0.2500 0.3915  5 Se 2.66-2.85
In: 0.0246 0.7500 0.8915  5 Se 2.66-2.85
In: 0.5246 0.7500 0.6085  5 Se 2.66-2.85
In: 0.9754 0.2500 0.1085  5 Se 2.66-2.85

Computed properties:
Raw formation energy ... -0.723 eV/atom

***

Entry 2:
Crystalline TaTc2Mo at its relaxed geometry. Source: Alexandria, functional PBE.

a = 4.3859 Å, b = 2.7734 Å, c = 5.2480 Å
α = 80.94°, β = 90.00°, γ = 90.00°
Last column: nearest neighbours and their distance in Å.
Atoms (fractional coordinates):
Mo: 0.5000 0.2500 0.2500  4 Tc 2.69, 2 Ta 2.77, 2 Mo 2.77
Ta: 0.5000 0.7500 0.7500  4 Tc 2.72, 2 Mo 2.77, 2 Ta 2.77
Tc: 0.0000 0.0026 0.0044  2 Mo 2.69, 2 Ta 2.72, 4 Tc 2.73-2.80
Tc: 0.0000 0.4974 0.4956  2 Mo 2.69, 2 Ta 2.72, 4 Tc 2.73-2.80

Computed properties:
Energy above the most stable polymorph in this dataset ... 0.133 eV/atom
Energy relative to the elements ... -0.066 eV per atom

***

Entry 3:
Crystalline Sm2LuPd at its relaxed geometry. Source: Alexandria, functional PBE.

a = 3.6924 Å, b = 3.6924 Å, c = 10.0348 Å
α = 79.40°, β = 79.40°, γ = 60.00°
Last column: nearest neighbours and their distance in Å.
Atoms (fractional coordinates):
Lu: 0.5000 0.5000 0.5000  6 Sm 3.61, 6 Lu 3.69
Pd: 0.0000 0.0000 0.0000  6 Sm 2.92
Sm: 0.2656 0.2656 0.2033  3 Pd 2.92
Sm: 0.7344 0.7344 0.7967  3 Pd 2.92

Computed properties:
Energy above the most stable polymorph in this dataset ... 0.093 eV/atom
Energy relative to the elements ... -0.251 eV per atom

***

Entry 4:
Crystalline SiTeAu2 at its relaxed geometry. Source: Alexandria, functional PBE.

a = 3.9742 Å, b = 3.9742 Å, c = 6.5195 Å
α = 71.32°, β = 71.32°, γ = 61.11°
Last column: nearest neighbours and their distance in Å.
Atoms (fractional coordinates):
Au: 0.0163 0.0163 0.9520  3 Si 2.61-2.62
Au: 0.4837 0.4837 0.5480  3 Si 2.61-2.62
Si: 0.7500 0.7500 0.7500  6 Au 2.61-2.62
Te: 0.2500 0.2500 0.2500  6 Au 2.92-2.94

Computed properties:
Energy above the most stable polymorph in this dataset ... 0.007 eV/atom
Raw formation energy ... 0.063 eV/atom

***

Entry 5:
Crystalline VFeH3 at its relaxed geometry. Source: Alexandria, functional PBE.

a = 3.3119 Å, b = 3.3119 Å, c = 3.3119 Å
α = 90.00°, β = 90.00°, γ = 90.00°
Last column: nearest neighbours and their distance in Å.
Atoms (fractional coordinates):
H: 0.0000 0.5000 0.0000  2 V 1.66
H: 0.0000 0.0000 0.5000  2 V 1.66
H: 0.5000 0.0000 0.0000  2 V 1.66
Fe: 0.5000 0.5000 0.5000  12 H 2.34
V: 0.0000 0.0000 0.0000  6 H 1.66

Computed properties:
Calculated total energy ... -5.243 eV/atom

***

Entry 6:
Crystalline KNb2Cl6 at its relaxed geometry. Source: Alexandria, functional PBE.

a = 3.4500 Å, b = 7.2643 Å, c = 9.4197 Å
α = 93.06°, β = 102.19°, γ = 92.08°
Last column: nearest neighbours and their distance in Å.
Atoms (fractional coordinates):
K: 0.0000 0.0000 0.0000  4 Cl 3.01
Nb: 0.6878 0.5554 0.3847  6 Cl 2.49-2.57
Nb: 0.3122 0.4446 0.6153  6 Cl 2.49-2.57
Cl: 0.2799 0.7570 0.5176  3 Nb 2.49-2.53
Cl: 0.7201 0.2430 0.4824  3 Nb 2.49-2.53
Cl: 0.3883 0.1832 0.7832  1 Nb 2.52
Cl: 0.0739 0.4069 0.2065  2 Nb 2.57
Cl: 0.6117 0.8168 0.2168  1 Nb 2.52
Cl: 0.9261 0.5931 0.7935  2 Nb 2.57

Computed properties:
Energy above the most stable polymorph in this dataset ... 0.000 eV/atom
Raw formation energy ... -1.350 eV/atom

***

Entry 7:
Crystalline Ac2NdSi3Ni12 at its relaxed geometry. Source: Alexandria, functional PBE.

a = 7.9515 Å, b = 7.9515 Å, c = 7.9515 Å
α = 56.68°, β = 56.68°, γ = 56.68°
Last column: nearest neighbours and their distance in Å.
Atoms (fractional coordinates):
Ac: 0.6022 0.6022 0.6022  6 Ni 2.77-2.87
Ac: 0.3978 0.3978 0.3978  6 Ni 2.77-2.87
Nd: 0.0000 0.0000 0.0000  6 Ni 3.10
Si: 0.5000 0.0000 0.0000  6 Ni 2.18-2.27
Si: 0.0000 0.5000 0.0000  6 Ni 2.18-2.27
Si: 0.0000 0.0000 0.5000  6 Ni 2.18-2.27
Ni: 0.3489 0.3489 0.8788  2 Si 2.18
Ni: 0.8388 0.8388 0.4978  1 Si 2.27, 2 Ni 2.47
Ni: 0.4978 0.8388 0.8388  1 Si 2.27, 2 Ni 2.47
Ni: 0.8788 0.3489 0.3489  2 Si 2.18
Ni: 0.8388 0.4978 0.8388  1 Si 2.27, 2 Ni 2.47
Ni: 0.3489 0.8788 0.3489  2 Si 2.18
Ni: 0.6511 0.6511 0.1212  2 Si 2.18
Ni: 0.1612 0.1612 0.5022  1 Si 2.27, 2 Ni 2.47
Ni: 0.5022 0.1612 0.1612  1 Si 2.27, 2 Ni 2.47
Ni: 0.1212 0.6511 0.6511  2 Si 2.18
Ni: 0.1612 0.5022 0.1612  1 Si 2.27, 2 Ni 2.47
Ni: 0.6511 0.1212 0.6511  2 Si 2.18

Computed properties:
Raw formation energy ... 0.020 eV/atom

***

Entry 8:
Crystalline K2PuSnO6 at its relaxed geometry. Source: Alexandria, functional PBE.

a = 5.9136 Å, b = 5.9132 Å, c = 5.9137 Å
α = 60.00°, β = 60.00°, γ = 90.00°
Last column: nearest neighbours and their distance in Å.
Atoms (fractional coordinates):
K: 0.2500 0.7500 0.5000  12 O 2.96
K: 0.7500 0.2500 0.5000  12 O 2.96
Pu: 0.0000 0.0000 0.0000  6 O 2.08
Sn: 0.5000 0.5000 0.0000  6 O 2.10
O: 0.2487 0.7512 0.0001  1 Pu 2.08, 1 Sn 2.10
O: 0.7512 0.7511 0.0001  1 Pu 2.08, 1 Sn 2.10
O: 0.2487 0.2487 0.5027  1 Pu 2.08, 1 Sn 2.10
O: 0.7513 0.2488 0.9999  1 Pu 2.08, 1 Sn 2.10
O: 0.2488 0.2489 0.9999  1 Pu 2.08, 1 Sn 2.10
O: 0.7513 0.7513 0.4973  1 Pu 2.08, 1 Sn 2.10

Computed properties:
Raw formation energy ... -2.064 eV/atom

***

| no. | mass density (g/cm3) |
| --- | --- |
| 1 | 4.3 |
| 2 | 12.5 |
| 3 | 8.3 |
| 4 | 10.9 |
| 5 | 5.0 |
| 6 | 3.2 |
| 7 | 7.0 |
| 8 | 6.1 |